{
  "formula": "GeH4NCl3",
  "functional": "GGA-PBE",
  "state": "optimized geometry",
  "dos_at_fermi_per_ev_cell": 0.0,
  "volume_a3_per_fu": 178,
  "e_tot_ev_per_atom": -4.2551,
  "cell": [[4.988, -0.085, 0.050], [-2.482, 6.562, -0.152], [-0.083, 0.205, 10.968]],
  "species": ["H", "H", "H", "H", "H", "H", "H", "H", "Cl", "Cl", "Cl", "Cl", "Cl", "Cl", "Ge", "Ge", "N", "N"],
  "frac_coords": [[0.529, 0.368, 0.468], [0.470, 0.632, 0.968], [0.712, 0.541, 0.574], [0.150, 0.441, 0.931], [0.843, 0.362, 0.519], [0.157, 0.637, 0.021], [0.849, 0.559, 0.430], [0.288, 0.459, 0.075], [0.181, 0.763, 0.300], [0.553, 0.719, 0.708], [0.448, 0.281, 0.207], [0.931, 0.862, 0.981], [0.069, 0.138, 0.481], [0.818, 0.237, 0.801], [0.005, 0.027, 0.268], [0.996, 0.973, 0.769], [0.734, 0.459, 0.498], [0.266, 0.541, 0.999]]
}



{
  "formula": "GeH4NCl3",
  "functional": "GGA-PBE",
  "state": "optimized geometry",
  "dos_at_fermi_per_ev_cell": 0.0,
  "volume_a3_per_fu": 172,
  "e_tot_ev_per_atom": -4.2522,
  "cell": [[7.850, -0.062, 0.137], [-0.106, 7.792, 0.206], [-7.220, 0.029, 11.145]],
  "species": ["Cl", "Cl", "Cl", "Cl", "Cl", "Cl", "Cl", "Cl", "Cl", "Cl", "Cl", "Cl", "N", "N", "N", "N", "H", "H", "H", "H", "H", "H", "H", "H", "H", "H", "H", "H", "H", "H", "H", "H", "Ge", "Ge", "Ge", "Ge"],
  "frac_coords": [[0.656, 0.675, 0.413], [0.330, 0.802, 0.812], [0.768, 0.551, 0.171], [0.680, 0.277, 0.612], [0.831, 0.918, 0.814], [0.770, 0.312, 0.898], [0.286, 0.794, 0.534], [0.915, 0.160, 0.334], [0.326, 0.024, 0.271], [0.484, 0.179, 0.050], [0.228, 0.621, 0.134], [0.200, 0.415, 0.648], [0.256, 0.457, 0.381], [0.860, 0.931, 0.075], [0.137, 0.444, 0.869], [0.936, 0.983, 0.575], [0.843, 0.880, 0.529], [0.758, 0.021, 0.067], [0.120, 0.430, 0.786], [0.173, 0.571, 0.892], [0.064, 0.937, 0.651], [0.006, 0.967, 0.140], [0.852, 0.924, 0.994], [0.254, 0.366, 0.931], [0.007, 0.410, 0.867], [0.248, 0.497, 0.303], [0.859, 0.067, 0.596], [0.827, 0.813, 0.097], [0.139, 0.372, 0.362], [0.392, 0.398, 0.438], [0.975, 0.046, 0.520], [0.246, 0.565, 0.422], [0.499, 0.822, 0.226], [0.576, 0.134, 0.734], [0.454, 0.637, 0.715], [0.619, 0.334, 0.229]]
}



{
  "formula": "GeP2HCl",
  "functional": "GGA-PBE",
  "state": "optimized geometry",
  "dos_at_fermi_per_ev_cell": 3.0,
  "volume_a3_per_fu": 80,
  "de_polymorph_mev_per_atom": 0,
  "e_tot_ev_per_atom": -3.5846,
  "cell": [[-0.281, -3.047, -2.155], [0.835, -2.158, 2.942], [-5.568, -0.398, 1.288]],
  "species": ["H", "Cl", "P", "P", "Ge"],
  "frac_coords": [[0.000, 0.000, 0.000], [0.000, 0.000, 0.500], [0.000, 0.500, 0.000], [0.500, 0.000, 0.000], [0.500, 0.500, 0.500]]
}



{
  "formula": "GeP2HCl",
  "functional": "GGA-PBE",
  "state": "optimized geometry",
  "dos_at_fermi_per_ev_cell": 1.8,
  "volume_a3_per_fu": 121,
  "de_polymorph_mev_per_atom": 572,
  "e_tot_ev_per_atom": -3.0129,
  "cell": [[4.804, 0.000, 0.000], [0.000, 4.804, 0.000], [0.000, 0.000, 5.228]],
  "species": ["P", "P", "Cl", "H", "Ge"],
  "frac_coords": [[0.000, 0.500, 0.000], [0.500, 0.000, 0.000], [0.000, 0.000, 0.500], [0.500, 0.500, 0.500], [0.000, 0.000, 0.000]]
}